(1)
Compound: TiO
Source: the Alexandria database
Functional: SCAN
Structure: single point on PBEsol structure

a b c (Å): 2.792 2.792 2.799
angles (deg): 90.00 90.00 120.00
Positions (direct):
Ti1 0.000 0.000 0.500
O1 0.667 0.333 0.000

Summary:
- formation energy without anion corrections (meV/atom) = -2735
- volume (Å³ per atom) = 9.45
- space-group type = P-6m2, No. 187

---

(2)
Compound: Ti2O
Source: the Alexandria database
Functional: SCAN
Structure: single point on PBEsol structure

a b c (Å): 2.953 2.953 4.734
angles (deg): 90.00 90.00 120.00
Positions (direct):
Ti1 0.333 0.667 0.736
Ti2 0.667 0.333 0.264
O1 0.000 0.000 0.000

Summary:
- formation energy without anion corrections (meV/atom) = -1983
- volume (Å³ per atom) = 11.92
- space-group type = P-3m1, No. 164

---

(3)
Compound: Ti11O14
Source: the Alexandria database
Functional: SCAN
Structure: single point on PBEsol structure

a b c (Å): 5.008 5.031 10.584
angles (deg): 85.51 76.31 70.70
Positions (direct):
Ti1 0.927 0.500 0.146
Ti2 0.637 0.500 0.727
Ti3 0.430 0.000 0.140
Ti4 0.717 0.000 0.566
Ti5 0.570 0.000 0.860
Ti6 0.363 0.500 0.273
Ti7 0.790 0.500 0.420
Ti8 0.210 0.500 0.580
Ti9 0.000 0.000 0.000
Ti10 0.283 0.000 0.434
Ti11 0.073 0.500 0.854
O1 0.044 0.742 0.425
O2 0.530 0.258 0.425
O3 0.823 0.248 0.860
O4 0.470 0.742 0.575
O5 0.177 0.752 0.140
O6 0.251 0.260 0.000
O7 0.956 0.258 0.575
O8 0.393 0.236 0.716
O9 0.318 0.752 0.860
O10 0.682 0.248 0.140
O11 0.891 0.764 0.716
O12 0.607 0.764 0.284
O13 0.109 0.236 0.284
O14 0.749 0.740 0.000

Summary:
- formation energy without anion corrections (meV/atom) = -2960
- volume (Å³ per atom) = 9.78
- space-group type = C2/m, No. 12

---

(4)
Compound: Ti3O2
Source: the Alexandria database
Functional: SCAN
Structure: single point on PBEsol structure

a b c (Å): 5.064 5.064 5.718
angles (deg): 63.71 63.71 60.00
Positions (direct):
Ti1 0.921 0.250 0.250
Ti2 0.250 0.579 0.250
Ti3 0.750 0.421 0.750
Ti4 0.579 0.921 0.250
Ti5 0.079 0.750 0.750
Ti6 0.421 0.079 0.750
O1 0.838 0.838 0.487
O2 0.338 0.338 0.987
O3 0.162 0.162 0.513
O4 0.662 0.662 0.013

Summary:
- formation energy without anion corrections (meV/atom) = -2273
- volume (Å³ per atom) = 10.91
- space-group type = R-3c, No. 167

---

(5)
Compound: Ti5O8
Source: the Alexandria database
Functional: SCAN
Structure: single point on PBEsol structure

a b c (Å): 5.458 8.965 8.974
angles (deg): 68.17 84.80 84.74
Positions (direct):
O1 0.343 0.279 0.127
O2 0.344 0.376 0.529
O3 0.002 0.532 0.721
O4 0.159 0.629 0.967
O5 0.023 0.966 0.768
O6 0.491 0.036 0.710
O7 0.651 0.710 0.872
O8 0.499 0.470 0.780
O9 0.001 0.466 0.279
O10 0.659 0.623 0.470
O11 0.003 0.032 0.216
O12 0.352 0.784 0.624
O13 0.325 0.873 0.034
O14 0.148 0.127 0.468
O15 0.500 0.528 0.220
O16 0.840 0.281 0.628
O17 0.502 0.968 0.280
O18 0.843 0.378 0.033
O19 0.656 0.214 0.380
O20 0.154 0.221 0.875
O21 0.849 0.874 0.530
O22 0.837 0.766 0.141
O23 0.159 0.721 0.374
O24 0.644 0.140 0.969
Ti1 0.696 0.674 0.673
Ti2 0.696 0.174 0.174
Ti3 0.811 0.826 0.321
Ti4 0.804 0.067 0.592
Ti5 0.695 0.421 0.422
Ti6 0.190 0.672 0.174
Ti7 0.193 0.424 0.926
Ti8 0.306 0.324 0.327
Ti9 0.317 0.837 0.829
Ti10 0.322 0.071 0.068
Ti11 0.194 0.926 0.422
Ti12 0.799 0.593 0.070
Ti13 0.309 0.578 0.577
Ti14 0.803 0.323 0.832
Ti15 0.190 0.174 0.673

Summary:
- formation energy without anion corrections (meV/atom) = -3197
- volume (Å³ per atom) = 10.39
- space-group type = P1, No. 1

---

(6)
Compound: TiO
Source: the Alexandria database
Functional: SCAN
Structure: single point on PBEsol structure

a b c (Å): 4.129 5.053 5.765
angles (deg): 105.79 90.00 114.12
Positions (direct):
Ti1 0.348 0.696 0.676
Ti2 0.335 0.670 0.170
Ti3 0.652 0.304 0.324
Ti4 0.000 0.000 0.500
Ti5 0.665 0.330 0.830
O1 0.831 0.661 0.168
O2 0.831 0.662 0.658
O3 0.169 0.339 0.832
O4 0.169 0.338 0.342
O5 0.500 0.000 0.000

Summary:
- formation energy without anion corrections (meV/atom) = -2754
- volume (Å³ per atom) = 10.48
- space-group type = C2/m, No. 12